(one)
Here is a relaxed structure of AlCuHgMo from the Open Quantum Materials Database. Energies are from PBE.

Cell: 4.524 4.524 4.524 Å, 60.00 60.00 60.00°
Element x y z (fractional)
Al 0.000 0.000 0.000
Cu 0.250 0.250 0.250
Hg 0.500 0.500 0.500
Mo 0.750 0.750 0.750

Calculated values
Symmetry: No. 216
Theoretical density: 9.82 Mg/m³
M_tot: 0.366 μB per atom
Crystal system: cubic

---

(two)
Here is a relaxed structure of AlCuHgMo from the Open Quantum Materials Database. Energies are from PBE.

Cell: 4.536 4.536 4.536 Å, 60.00 60.00 60.00°
Element x y z (fractional)
Al 0.000 0.000 0.000
Cu 0.250 0.250 0.250
Hg 0.750 0.750 0.750
Mo 0.500 0.500 0.500

Calculated values
Symmetry: No. 216
Theoretical density: 9.74 Mg/m³
M_tot: 0.504 μB per atom
Crystal system: cubic

---

Most stable structure: (one)

---

(one)
Here is a relaxed structure of AlCuReHg from the Open Quantum Materials Database. Energies are from PBE.

Cell: 4.466 4.466 4.466 Å, 60.00 60.00 60.00°
Element x y z (fractional)
Al 0.000 0.000 0.000
Cu 0.250 0.250 0.250
Re 0.500 0.500 0.500
Hg 0.750 0.750 0.750

Calculated values
Symmetry: No. 216
Theoretical density: 12.58 Mg/m³
M_tot: 0.027 μB per atom
Crystal system: cubic

---

(two)
Here is a relaxed structure of AlCuReHg from the Open Quantum Materials Database. Energies are from PBE.

Cell: 4.465 4.465 4.465 Å, 60.00 60.00 60.00°
Element x y z (fractional)
Al 0.000 0.000 0.000
Cu 0.250 0.250 0.250
Re 0.750 0.750 0.750
Hg 0.500 0.500 0.500

Calculated values
Symmetry: No. 216
Theoretical density: 12.59 Mg/m³
M_tot: 0.082 μB per atom
Crystal system: cubic

---

Most stable structure: (two)

---

(one)
Here is a relaxed structure of ScAlCuHg from the Open Quantum Materials Database. Energies are from PBE.

Cell: 4.629 4.629 4.629 Å, 60.00 60.00 60.00°
Element x y z (fractional)
Sc 0.000 0.000 0.000
Al 0.500 0.500 0.500
Cu 0.750 0.750 0.750
Hg 0.250 0.250 0.250

Calculated values
Symmetry: No. 216
Theoretical density: 7.96 Mg/m³
M_tot: 0.000 μB per atom
Crystal system: cubic

---

(two)
Here is a relaxed structure of ScAlCuHg from the Open Quantum Materials Database. Energies are from PBE.

Cell: 4.640 4.640 4.640 Å, 60.00 60.00 60.00°
Element x y z (fractional)
Sc 0.000 0.000 0.000
Al 0.250 0.250 0.250
Cu 0.500 0.500 0.500
Hg 0.750 0.750 0.750

Calculated values
Symmetry: No. 216
Theoretical density: 7.90 Mg/m³
M_tot: 0.001 μB per atom
Crystal system: cubic

---

Most stable structure: (one)

---

(one)
Here is a relaxed structure of TaAlCuHg from the Open Quantum Materials Database. Energies are from PBE.

Cell: 4.590 4.590 4.590 Å, 60.00 60.00 60.00°
Element x y z (fractional)
Ta 0.000 0.000 0.000
Al 0.250 0.250 0.250
Cu 0.500 0.500 0.500
Hg 0.750 0.750 0.750

Calculated values
Symmetry: No. 216
Theoretical density: 11.47 Mg/m³
M_tot: 0.142 μB per atom
Crystal system: cubic

---

(two)
Here is a relaxed structure of TaAlCuHg from the Open Quantum Materials Database. Energies are from PBE.

Cell: 4.570 4.570 4.570 Å, 60.00 60.00 60.00°
Element x y z (fractional)
Ta 0.000 0.000 0.000
Al 0.500 0.500 0.500
Cu 0.750 0.750 0.750
Hg 0.250 0.250 0.250

Calculated values
Symmetry: No. 216
Theoretical density: 11.61 Mg/m³
M_tot: 0.210 μB per atom
Crystal system: cubic

---

Most stable structure: (one)